Ba5Pt | PBE | relaxed

```
Ba5Pt
1.0
2.233 6.511 -0.896
-5.547 -2.278 -3.494
-4.389 2.261 5.493
Ba Pt
5 1
Cartesian
-4.968 -0.009 0.999
-0.361 3.581 -1.762
-3.852 3.247 0.552
-1.078 4.386 2.299
-2.954 0.651 -2.628
0.000 0.000 0.000
```

offset from the most stable computed form = 889 meV/atom
DOS(E_F) = 9.0 states/eV per cell
VASP energy = -11.9 eV per cell
E_form = 3.7 eV per formula unit

---

HfTi3Te | PBE | relaxed

```
HfTi3Te
1.0
4.097 0.000 0.000
0.000 4.097 0.000
-2.049 -2.049 6.625
Te Ti Hf
1 3 1
Cartesian
2.049 2.049 1.746
0.000 0.000 5.635
2.049 0.000 3.861
0.000 2.049 3.861
2.049 2.049 5.970
```

offset from the most stable computed form = 0 meV/atom
DOS(E_F) = 2.4 states/eV per cell
formation energy (no corrections) = -0.108 eV/atom
VASP energy = -37.3 eV per cell

---

Mg2IrPd | PBE | relaxed

```
Mg2IrPd
1.0
6.996 0.000 0.000
0.000 6.996 0.000
3.498 3.498 2.829
Mg Ir Pd
4 2 2
Cartesian
5.247 5.276 2.121
5.217 1.749 0.707
1.778 5.247 0.707
8.744 8.715 2.121
0.000 0.000 0.000
6.996 3.498 1.414
3.498 6.996 1.414
3.498 3.498 0.000
```

DOS(E_F) = 4.9 states/eV per cell
VASP energy = -34.6 eV per cell
E_form = 0.0 eV per formula unit

---

Cs3Ac5O12 | PBE | relaxed

```
Cs3Ac5O12
1.0
13.788 0.000 0.000
-4.596 13.000 0.000
-4.596 -6.500 11.258
O Ac Cs
48 20 12
Cartesian
8.590 0.876 5.579
9.452 -2.614 6.831
-5.533 -0.158 9.227
6.292 7.376 5.679
-1.279 7.854 4.750
2.558 -2.527 6.781
10.471 3.064 3.548
-0.937 4.820 1.152
7.154 11.641 0.050
4.336 2.527 6.781
5.615 1.709 1.202
1.361 -1.680 10.106
3.994 -2.020 3.598
1.361 1.838 10.379
-3.317 11.291 1.202
-3.994 5.624 5.679
5.533 -1.838 10.379
7.154 3.886 4.427
2.900 2.020 3.598
5.957 6.342 2.031
-2.558 -5.141 11.208
-2.900 7.644 9.177
10.130 6.657 2.031
-0.602 1.144 2.081
5.615 9.936 3.548
5.533 1.680 10.106
-5.875 3.436 7.710
5.875 -1.354 6.508
7.496 -1.144 2.081
2.038 9.027 4.477
0.602 8.519 7.660
-1.019 4.791 10.056
-4.336 5.141 11.208
5.198 5.356 9.177
-1.361 0.158 9.227
3.235 8.180 1.152
-1.696 -0.876 5.579
-0.937 8.338 0.879
-1.019 -3.436 7.710
1.019 1.354 6.508
7.913 -4.791 10.056
8.932 1.359 0.050
0.260 3.973 4.477
-4.856 9.113 4.427
-2.558 2.614 6.831
3.577 5.145 4.750
3.235 4.662 0.879
1.696 4.480 7.660
6.894 0.000 0.000
5.745 3.250 8.444
4.596 -3.250 5.629
5.745 -4.062 9.851
-4.596 3.250 5.629
2.298 3.250 5.629
8.043 -0.812 7.036
1.149 -3.250 8.444
4.596 6.500 0.000
3.447 2.437 1.407
-2.298 -3.250 5.629
-3.447 7.312 4.222
-1.149 10.562 1.407
3.447 9.750 2.815
0.000 0.000 0.000
5.745 5.687 4.222
-1.149 0.812 7.036
1.149 4.062 9.851
-1.149 3.250 2.815
-2.298 6.500 0.000
8.043 8.937 1.407
-5.745 6.500 8.444
-1.149 5.687 7.036
8.043 4.062 1.407
3.447 0.000 8.444
5.745 0.812 4.222
1.149 6.500 2.815
10.341 0.000 2.815
3.447 7.312 7.036
-3.447 -2.437 9.851
1.149 -0.812 4.222
-3.447 2.437 9.851
```

DOS(E_F) = 42.0 states/eV per cell
formation energy (no corrections) = -2.069 eV/atom
VASP energy = -495.9 eV per cell

---

SbPbSeO6 | PBE | relaxed

```
SbPbSeO6
1.0
5.293 0.000 0.000
2.647 4.584 0.000
0.000 0.000 5.488
O Sb Se Pb
6 1 1 1
Cartesian
4.656 4.551 3.862
4.317 1.757 3.862
5.931 4.551 1.626
6.270 1.757 1.626
6.907 2.860 3.862
3.680 2.860 1.626
2.647 1.528 2.744
5.293 3.056 2.744
5.293 0.000 5.488
```

DOS(E_F) = 3.1 states/eV per cell
formation energy (no corrections) = -0.982 eV/atom
VASP energy = -49.9 eV per cell

---

YZn4Re | PBE | relaxed

```
YZn4Re
1.0
-0.270 -1.371 4.941
-4.567 -0.887 2.173
-1.355 -4.789 1.265
Zn Re Y
4 1 1
Cartesian
-2.330 -2.652 3.153
-4.590 -3.091 4.228
-3.000 -5.021 3.779
-2.464 -3.330 5.598
-4.644 -5.285 6.284
0.000 0.000 0.000
```

DOS(E_F) = 4.7 states/eV per cell
VASP energy = -24.3 eV per cell
E_form = -0.3 eV per formula unit

---

SmYGa2Rh2 | PBE | relaxed

```
SmYGa2Rh2
1.0
-3.965 -1.650 0.955
3.092 0.240 3.121
-2.323 6.622 1.793
Ga Rh Sm Y
2 2 1 1
Cartesian
0.134 1.336 2.866
-3.331 3.876 3.002
-0.979 4.509 3.725
-2.217 0.704 2.143
0.000 0.000 0.000
-1.162 3.311 0.896
```

DOS(E_F) = 5.0 states/eV per cell
VASP energy = -36.8 eV per cell
E_form = -4.8 eV per formula unit

---

ThAl4Pd8 | PBE | relaxed

```
ThAl4Pd8
1.0
5.423 0.000 0.000
2.712 6.253 0.000
2.712 0.000 6.253
Pd Al Th
8 4 1
Cartesian
5.423 2.093 2.093
5.423 4.161 4.161
8.135 4.853 4.853
5.423 1.400 4.853
2.712 4.161 2.093
2.712 1.400 1.400
2.712 2.093 4.161
5.423 4.853 1.400
1.356 3.127 0.000
4.067 0.000 3.127
1.356 0.000 3.127
4.067 3.127 0.000
0.000 0.000 0.000
```

DOS(E_F) = 5.7 states/eV per cell
VASP energy = -74.6 eV per cell
E_form = -10.7 eV per formula unit

---

LaSn2Pt | PBE | relaxed

```
LaSn2Pt
1.0
-4.099 2.970 0.904
-1.296 3.682 -3.347
-4.231 -0.514 -2.876
Sn Pt La
2 1 1
Cartesian
-2.406 1.534 -1.330
-7.219 4.603 -3.990
-4.813 3.069 -2.660
0.000 0.000 0.000
```

DOS(E_F) = 3.1 states/eV per cell
VASP energy = -20.7 eV per cell
E_form = -1.7 eV per formula unit